Below is crystalline NaCa3Tb3Se8 at its relaxed geometry, with properties calculated at the PBE-GGA level.

Lattice parameters (Å, degrees): 8.3229 8.3229 8.3229 59.69 59.69 59.69
Element x y z (fractional)
Na1 0.0000 0.0000 0.0000
Ca1 0.0000 0.0000 0.5000
Ca2 0.0000 0.5000 0.0000
Ca3 0.5000 0.0000 0.0000
Tb1 0.0000 0.5000 0.5000
Tb2 0.5000 0.0000 0.5000
Tb3 0.5000 0.5000 0.0000
Se1 0.2519 0.2519 0.2519
Se2 0.2523 0.2523 0.7382
Se3 0.2523 0.7382 0.2523
Se4 0.2618 0.7477 0.7477
Se5 0.7382 0.2523 0.2523
Se6 0.7477 0.2618 0.7477
Se7 0.7477 0.7477 0.2618
Se8 0.7481 0.7481 0.7481

Properties
E	-5.08	eV per atom
uncorrected formation energy	-1.809	eV/atom
volume	26.987	Å³/atom

=====

Below is crystalline Na2CaTcSe at its relaxed geometry, with properties calculated at the PBE-GGA level.

Lattice parameters (Å, degrees): 5.3993 5.3993 4.7224 90.00 90.00 90.00
Element x y z (fractional)
Na1 0.0000 0.5000 0.0000
Na2 0.5000 0.0000 0.0000
Ca1 0.0000 0.0000 0.5000
Tc1 0.5000 0.5000 0.5000
Se1 0.5000 0.5000 0.0000

Properties
E	-3.48	eV per atom
uncorrected formation energy	0.218	eV/atom
volume	27.533	Å³/atom
N(E_F)	0.63	states/eV/atom

=====

Below is crystalline Na3CaTh2Se6 at its relaxed geometry, with properties calculated at the PBE-GGA level.

Lattice parameters (Å, degrees): 9.5442 9.5442 8.6273 103.75 103.75 25.56
Element x y z (fractional)
Na1 0.0000 0.0000 0.0000
Na2 0.3374 0.3374 0.6646
Na3 0.6626 0.6626 0.3354
Ca1 0.0000 0.0000 0.5000
Th1 0.3349 0.3349 0.1685
Th2 0.6651 0.6651 0.8315
Se1 0.1664 0.1664 0.5931
Se2 0.1698 0.1698 0.0792
Se3 0.4938 0.4938 0.2533
Se4 0.5062 0.5062 0.7467
Se5 0.8302 0.8302 0.9208
Se6 0.8336 0.8336 0.4069

Properties
E	-5.05	eV per atom
uncorrected formation energy	-1.577	eV/atom
volume	27.401	Å³/atom
N(E_F)	0.38	states/eV/atom

=====

Below is crystalline NaCa2ThSe4 at its relaxed geometry, with properties calculated at the PBE-GGA level.

Lattice parameters (Å, degrees): 7.3153 4.1624 7.3336 90.00 108.47 90.00
Element x y z (fractional)
Na1 0.0000 0.0000 0.0000
Ca1 0.5000 0.0000 0.5000
Ca2 0.5000 0.5000 0.0000
Th1 0.0000 0.5000 0.5000
Se1 0.2510 0.5000 0.2594
Se2 0.2533 0.0000 0.7512
Se3 0.7467 0.0000 0.2488
Se4 0.7490 0.5000 0.7406

Properties
E	-5.07	eV per atom
uncorrected formation energy	-1.736	eV/atom
volume	26.475	Å³/atom
N(E_F)	0.25	states/eV/atom

=====

Below is crystalline Na4CaTh3Se8 at its relaxed geometry, with properties calculated at the PBE-GGA level.

Lattice parameters (Å, degrees): 8.5917 8.5917 8.5917 58.80 58.80 58.80
Element x y z (fractional)
Na1 0.0000 0.0000 0.0000
Na2 0.0000 0.5000 0.5000
Na3 0.5000 0.0000 0.5000
Na4 0.5000 0.5000 0.0000
Ca1 0.5000 0.5000 0.5000
Th1 0.0000 0.0000 0.5000
Th2 0.0000 0.5000 0.0000
Th3 0.5000 0.0000 0.0000
Se1 0.2437 0.7471 0.7471
Se2 0.2477 0.2477 0.2477
Se3 0.2529 0.2529 0.7563
Se4 0.2529 0.7563 0.2529
Se5 0.7471 0.2437 0.7471
Se6 0.7471 0.7471 0.2437
Se7 0.7523 0.7523 0.7523
Se8 0.7563 0.2529 0.2529

Properties
E	-5.14	eV per atom
uncorrected formation energy	-1.550	eV/atom
volume	27.265	Å³/atom
N(E_F)	0.55	states/eV/atom

=====

Below is crystalline NaCa2TmSe4 at its relaxed geometry, with properties calculated at the PBE-GGA level.

Lattice parameters (Å, degrees): 7.1551 4.1697 7.2301 90.00 108.56 90.00
Element x y z (fractional)
Na1 0.0000 0.0000 0.0000
Ca1 0.5000 0.0000 0.5000
Ca2 0.5000 0.5000 0.0000
Tm1 0.0000 0.5000 0.5000
Se1 0.2389 0.0000 0.7390
Se2 0.2477 0.5000 0.2617
Se3 0.7523 0.5000 0.7383
Se4 0.7611 0.0000 0.2610

Properties
E	-4.79	eV per atom
uncorrected formation energy	-1.821	eV/atom
volume	25.561	Å³/atom
N(E_F)	0.00	states/eV/atom

=====

Below is crystalline Na2CaUSe4 at its relaxed geometry, with properties calculated at the PBE-GGA level.

Lattice parameters (Å, degrees): 7.2731 4.2119 7.3466 90.00 108.93 90.00
Element x y z (fractional)
Na1 0.0000 0.0000 0.0000
Na2 0.5000 0.5000 0.0000
Ca1 0.0000 0.5000 0.5000
U1 0.5000 0.0000 0.5000
Se1 0.2574 0.0000 0.7299
Se2 0.2665 0.5000 0.2703
Se3 0.7335 0.5000 0.7297
Se4 0.7426 0.0000 0.2701

Properties
E	-5.15	eV per atom
uncorrected formation energy	-1.415	eV/atom
volume	26.610	Å³/atom
N(E_F)	0.54	states/eV/atom

=====

Below is crystalline Na3Ca2USe6 at its relaxed geometry, with properties calculated at the PBE-GGA level.

Lattice parameters (Å, degrees): 7.2734 7.2734 7.3593 99.54 99.54 120.00
Element x y z (fractional)
Na1 0.0000 0.0000 0.0000
Na2 0.3311 0.6689 0.0000
Na3 0.6689 0.3311 0.0000
Ca1 0.1666 0.8334 0.5000
Ca2 0.8334 0.1666 0.5000
U1 0.5000 0.5000 0.5000
Se1 0.1088 0.4232 0.2692
Se2 0.2630 0.2630 0.7274
Se3 0.4232 0.1088 0.2692
Se4 0.5768 0.8912 0.7308
Se5 0.7370 0.7370 0.2726
Se6 0.8912 0.5768 0.7308

Properties
E	-4.83	eV per atom
uncorrected formation energy	-1.483	eV/atom
volume	26.507	Å³/atom
N(E_F)	0.01	states/eV/atom

=====

Below is crystalline Na2Ca2USe6 at its relaxed geometry, with properties calculated at the PBE-GGA level.

Lattice parameters (Å, degrees): 7.1774 7.1774 7.3783 99.70 99.70 118.78
Element x y z (fractional)
Na1 0.1720 0.8280 0.0000
Na2 0.8280 0.1720 0.0000
Ca1 0.3344 0.6656 0.5000
Ca2 0.6656 0.3344 0.5000
U1 0.0000 0.0000 0.5000
Se1 0.0751 0.3845 0.7265
Se2 0.2288 0.2288 0.2763
Se3 0.3845 0.0751 0.7265
Se4 0.6155 0.9249 0.2735
Se5 0.7712 0.7712 0.7237
Se6 0.9249 0.6155 0.2735

Properties
E	-4.94	eV per atom
uncorrected formation energy	-1.411	eV/atom
volume	28.582	Å³/atom

=====

Below is crystalline NaCa2YSe4 at its relaxed geometry, with properties calculated at the PBE-GGA level.

Lattice parameters (Å, degrees): 7.1976 4.1956 7.2521 90.00 108.59 90.00
Element x y z (fractional)
Na1 0.0000 0.0000 0.0000
Ca1 0.5000 0.0000 0.5000
Ca2 0.5000 0.5000 0.0000
Y1 0.0000 0.5000 0.5000
Se1 0.2423 0.0000 0.7418
Se2 0.2501 0.5000 0.2607
Se3 0.7499 0.5000 0.7393
Se4 0.7577 0.0000 0.2582

Properties
E	-5.05	eV per atom
uncorrected formation energy	-1.835	eV/atom
volume	25.946	Å³/atom

=====

Below is crystalline Na2CaZn2Se4 at its relaxed geometry, with properties calculated at the PBE-GGA level.

Lattice parameters (Å, degrees): 8.1934 8.1934 8.1059 117.87 117.87 28.55
Element x y z (fractional)
Na1 0.1136 0.1136 0.0654
Na2 0.8864 0.8864 0.9346
Ca1 0.0000 0.0000 0.5000
Zn1 0.3289 0.3289 0.5286
Zn2 0.6711 0.6711 0.4714
Se1 0.2226 0.2226 0.6894
Se2 0.4976 0.4976 0.7599
Se3 0.5024 0.5024 0.2401
Se4 0.7774 0.7774 0.3106

Properties
E	-3.44	eV per atom
uncorrected formation energy	-1.091	eV/atom
volume	25.311	Å³/atom
N(E_F)	0.00	states/eV/atom

=====

Below is crystalline NaCaZnSe2 at its relaxed geometry, with properties calculated at the PBE-GGA level.

Lattice parameters (Å, degrees): 5.2192 5.2192 4.7171 90.00 90.00 90.00
Element x y z (fractional)
Na1 0.0000 0.0000 0.0000
Ca1 0.5000 0.5000 0.0000
Zn1 0.0000 0.0000 0.5000
Se1 0.0000 0.5000 0.5000
Se2 0.5000 0.0000 0.5000

Properties
E	-2.80	eV per atom
uncorrected formation energy	-0.485	eV/atom
volume	25.699	Å³/atom
N(E_F)	0.24	states/eV/atom

=====

Below is crystalline NaCa2Si2 at its relaxed geometry, with properties calculated at the PBE-GGA level.

Lattice parameters (Å, degrees): 11.1524 11.1524 11.1524 161.11 161.11 26.84
Element x y z (fractional)
Na1 0.0000 0.0000 0.0000
Ca1 0.3630 0.3630 0.0000
Ca2 0.6370 0.6370 0.0000
Si1 0.2500 0.7500 0.5000
Si2 0.7500 0.2500 0.5000

Properties
E	-3.25	eV per atom
uncorrected formation energy	-0.019	eV/atom
volume	29.071	Å³/atom
N(E_F)	0.68	states/eV/atom

=====

Below is crystalline NaCa2Si2 at its relaxed geometry, with properties calculated at the PBE-GGA level.

Lattice parameters (Å, degrees): 6.8673 6.8673 6.8673 137.66 137.66 61.42
Element x y z (fractional)
Na1 0.0000 0.0000 0.0000
Ca1 0.2500 0.7500 0.5000
Ca2 0.7500 0.2500 0.5000
Si1 0.4020 0.4020 0.0000
Si2 0.5980 0.5980 0.0000

Properties
E	-3.28	eV per atom
uncorrected formation energy	-0.043	eV/atom
volume	29.050	Å³/atom
N(E_F)	1.23	states/eV/atom

=====

Below is crystalline NaCaSi3 at its relaxed geometry, with properties calculated at the PBE-GGA level.

Lattice parameters (Å, degrees): 4.9560 4.9560 4.9560 90.00 90.00 90.00
Element x y z (fractional)
Na1 0.0000 0.0000 0.0000
Ca1 0.5000 0.5000 0.5000
Si1 0.0000 0.0000 0.5000
Si2 0.0000 0.5000 0.0000
Si3 0.5000 0.0000 0.0000

Properties
E	-3.03	eV per atom
uncorrected formation energy	0.885	eV/atom
volume	24.346	Å³/atom
relative energy among the computed polymorphs	0	meV per atom
N(E_F)	0.64	states/eV/atom

=====

Below is crystalline NaCa2Si at its relaxed geometry, with properties calculated at the PBE-GGA level.

Lattice parameters (Å, degrees): 10.8207 10.8207 10.8207 153.19 153.19 38.27
Element x y z (fractional)
Na1 0.0000 0.0000 0.0000
Na2 0.7500 0.2500 0.5000
Ca1 0.1583 0.6250 0.0333
Ca2 0.3750 0.4083 0.5333
Ca3 0.5917 0.1250 0.9667
Ca4 0.8750 0.8417 0.4667
Si1 0.2500 0.7500 0.5000
Si2 0.5000 0.5000 0.0000

Properties
E	-2.39	eV per atom
uncorrected formation energy	0.295	eV/atom
volume	32.159	Å³/atom
N(E_F)	0.89	states/eV/atom

=====

Below is crystalline NaCa2Si at its relaxed geometry, with properties calculated at the PBE-GGA level.

Lattice parameters (Å, degrees): 3.5841 3.5841 9.5611 90.00 90.00 90.00
Element x y z (fractional)
Na1 0.0000 0.0000 0.0000
Ca1 0.5000 0.5000 0.3176
Ca2 0.5000 0.5000 0.6824
Si1 0.0000 0.0000 0.5000

Properties
E	-2.86	eV per atom
uncorrected formation energy	-0.169	eV/atom
volume	30.705	Å³/atom
N(E_F)	0.60	states/eV/atom

=====

Below is crystalline Na2CaSi4 at its relaxed geometry, with properties calculated at the PBE-GGA level.

Lattice parameters (Å, degrees): 13.4263 13.4263 13.4263 16.53 16.53 16.53
Element x y z (fractional)
Na1 0.1258 0.1258 0.1258
Na2 0.8742 0.8742 0.8742
Ca1 0.0000 0.0000 0.0000
Si1 0.2593 0.2593 0.2593
Si2 0.3857 0.3857 0.3857
Si3 0.6143 0.6143 0.6143
Si4 0.7407 0.7407 0.7407

Properties
E	-3.91	eV per atom
uncorrected formation energy	-0.145	eV/atom
volume	24.420	Å³/atom
N(E_F)	0.20	states/eV/atom

=====

Below is crystalline NaCaSi4 at its relaxed geometry, with properties calculated at the PBE-GGA level.

Lattice parameters (Å, degrees): 5.3024 5.3024 5.3024 60.00 60.00 60.00
Element x y z (fractional)
Na1 0.0000 0.0000 0.0000
Ca1 0.7500 0.7500 0.7500
Si1 0.3738 0.3738 0.3738
Si2 0.3738 0.3738 0.8786
Si3 0.3738 0.8786 0.3738
Si4 0.8786 0.3738 0.3738

Properties
E	-4.22	eV per atom
uncorrected formation energy	-0.056	eV/atom
volume	17.569	Å³/atom
relative energy among the computed polymorphs	38	meV per atom
N(E_F)	0.72	states/eV/atom

=====

Below is crystalline NaCaSi4 at its relaxed geometry, with properties calculated at the PBE-GGA level.

Lattice parameters (Å, degrees): 3.9504 4.4660 7.1596 90.00 90.00 90.00
Element x y z (fractional)
Na1 0.0000 0.0000 0.0000
Ca1 0.5000 0.0000 0.5000
Si1 0.0000 0.5000 0.3380
Si2 0.0000 0.5000 0.6620
Si3 0.5000 0.5000 0.1651
Si4 0.5000 0.5000 0.8349

Properties
E	-4.26	eV per atom
uncorrected formation energy	-0.094	eV/atom
volume	21.053	Å³/atom
relative energy among the computed polymorphs	0	meV per atom
N(E_F)	0.38	states/eV/atom

=====

Below is crystalline NaCa3Si at its relaxed geometry, with properties calculated at the PBE-GGA level.

Lattice parameters (Å, degrees): 5.6698 5.6698 5.6698 90.00 90.00 90.00
Element x y z (fractional)
Na1 0.0000 0.0000 0.0000
Ca1 0.0000 0.0000 0.5000
Ca2 0.0000 0.5000 0.0000
Ca3 0.5000 0.0000 0.0000
Si1 0.5000 0.5000 0.5000

Properties
E	-1.83	eV per atom
uncorrected formation energy	0.723	eV/atom
volume	36.453	Å³/atom
relative energy among the computed polymorphs	857	meV per atom
N(E_F)	0.87	states/eV/atom

=====

Below is crystalline NaCa4Si2 at its relaxed geometry, with properties calculated at the PBE-GGA level.

Lattice parameters (Å, degrees): 8.8556 8.8556 8.8556 33.89 33.89 33.89
Element x y z (fractional)
Na1 0.0000 0.0000 0.0000
Ca1 0.1315 0.1315 0.1315
Ca2 0.3841 0.3841 0.3841
Ca3 0.6159 0.6159 0.6159
Ca4 0.8685 0.8685 0.8685
Si1 0.2545 0.2545 0.2545
Si2 0.7455 0.7455 0.7455

Properties
E	-3.20	eV per atom
uncorrected formation energy	-0.322	eV/atom
volume	27.491	Å³/atom
N(E_F)	0.44	states/eV/atom

=====

Below is crystalline NaCa3Si at its relaxed geometry, with properties calculated at the PBE-GGA level.

Lattice parameters (Å, degrees): 5.7866 5.7866 5.7866 90.00 90.00 90.00
Element x y z (fractional)
Na1 0.0000 0.0000 0.0000
Ca1 0.0000 0.5000 0.5000
Ca2 0.5000 0.0000 0.5000
Ca3 0.5000 0.5000 0.0000
Si1 0.5000 0.5000 0.5000

Properties
E	-2.68	eV per atom
uncorrected formation energy	-0.135	eV/atom
volume	38.752	Å³/atom
relative energy among the computed polymorphs	0	meV per atom
N(E_F)	1.63	states/eV/atom

=====

Below is crystalline NaCaSi3 at its relaxed geometry, with properties calculated at the PBE-GGA level.

Lattice parameters (Å, degrees): 5.3989 5.3989 5.3989 90.00 90.00 90.00
Element x y z (fractional)
Na1 0.0000 0.0000 0.0000
Ca1 0.5000 0.5000 0.5000
Si1 0.0000 0.5000 0.5000
Si2 0.5000 0.0000 0.5000
Si3 0.5000 0.5000 0.0000

Properties
E	-2.81	eV per atom
uncorrected formation energy	1.109	eV/atom
volume	31.473	Å³/atom
relative energy among the computed polymorphs	224	meV per atom
N(E_F)	1.06	states/eV/atom

=====

Below is crystalline Na2Ca2Si at its relaxed geometry, with properties calculated at the PBE-GGA level.

Lattice parameters (Å, degrees): 7.7631 7.7631 6.0933 90.00 90.00 90.00
Element x y z (fractional)
Na1 0.1632 0.3368 0.0000
Na2 0.3368 0.8368 0.0000
Na3 0.6632 0.1632 0.0000
Na4 0.8368 0.6632 0.0000
Ca1 0.1698 0.6698 0.5000
Ca2 0.3302 0.1698 0.5000
Ca3 0.6698 0.8302 0.5000
Ca4 0.8302 0.3302 0.5000
Si1 0.0000 0.0000 0.5000
Si2 0.5000 0.5000 0.5000

Properties
E	-2.33	eV per atom
uncorrected formation energy	0.087	eV/atom
volume	36.722	Å³/atom
N(E_F)	0.22	states/eV/atom